# 1
Crystalline Ba3TlAg8 at its relaxed geometry, computed with GGA-PBE.

Unit cell a=10.5616 b=10.5616 c=10.5616 alpha=32.77 beta=32.77 gamma=32.77
Element x y z (fractional)
Ba: 0.0000 0.0000 0.0000
Ba: 0.1292 0.1292 0.1292
Ba: 0.6157 0.6157 0.6157
Tl: 0.4952 0.4952 0.4952
Ag: 0.0567 0.0567 0.5651
Ag: 0.0567 0.5651 0.0567
Ag: 0.0614 0.5617 0.5617
Ag: 0.3099 0.3099 0.3099
Ag: 0.5617 0.0614 0.5617
Ag: 0.5617 0.5617 0.0614
Ag: 0.5651 0.0567 0.0567
Ag: 0.8117 0.8117 0.8117

Values from the calculation:
For the energy, the calculation gives -2.71 eV/atom. The crystal system is trigonal. Its space group is No. 160. Its energy of formation from the pure elements is -0.135 eV per atom.



# 2
Crystalline Ba4TlAg2 at its relaxed geometry, computed with GGA-PBE.

Unit cell a=10.1360 b=10.1360 c=10.1360 alpha=34.01 beta=34.01 gamma=34.01
Element x y z (fractional)
Ba: 0.1244 0.1244 0.1244
Ba: 0.3751 0.3751 0.3751
Ba: 0.6249 0.6249 0.6249
Ba: 0.8756 0.8756 0.8756
Tl: 0.0000 0.0000 0.0000
Ag: 0.2494 0.2494 0.2494
Ag: 0.7506 0.7506 0.7506

Values from the calculation:
For the energy, the calculation gives -2.49 eV/atom. The crystal system is trigonal. Its space group is No. 166. Its energy of formation from the pure elements is -0.239 eV per atom.



# 3
Crystalline Ba3TlAg at its relaxed geometry, computed with GGA-PBE.

Unit cell a=4.5020 b=10.5719 c=10.5719 alpha=112.20 beta=90.00 gamma=90.00
Element x y z (fractional)
Ba: 0.0000 0.1125 0.8875
Ba: 0.0000 0.2634 0.4881
Ba: 0.0000 0.4881 0.2634
Ba: 0.0000 0.8875 0.1125
Ba: 0.5000 0.5254 0.8503
Ba: 0.5000 0.8503 0.5254
Tl: 0.0000 0.6871 0.6871
Tl: 0.5000 0.1877 0.1877
Ag: 0.5000 0.1878 0.6879
Ag: 0.5000 0.6879 0.1878

Values from the calculation:
For the energy, the calculation gives -2.39 eV/atom. The crystal system is orthorhombic. Its space group is No. 38. Its energy of formation from the pure elements is -0.193 eV per atom.